## ZrHg3H (PBE)

Data for a relaxed structure of ZrHg3H.

Lattice parameters (Å, degrees): 4.5149 4.5149 4.5149 90.00 90.00 90.00
Element x y z (fractional)
Hg 0.0000 0.0000 0.5000
Hg 0.0000 0.5000 0.0000
Hg 0.5000 0.0000 0.0000
H 0.0000 0.0000 0.0000
Zr 0.5000 0.5000 0.5000

- Total DFT energy (no corrections): -2.20 eV per atom
- Distance to the lowest polymorph of the same formula: 0.0 meV/atom
- DOS at the Fermi energy: 4.1 states/eV per cell
- M_tot: 0.00 μB per cell
- Symmetry: No. 221